VASP calculation (PBE) on Ca2TlZnPd after structural relaxation.

Results
Density of states at the Fermi level = 2.84 states/eV per cell
Symmetry = P4/mmm
Total DFT energy (no corrections) = -14.3 eV per cell
V = 29.49 Å³/atom
Calculated formation energy = -0.2991 eV per atom

Unit cell a=5.501 b=5.501 c=4.873 alpha=90.00 beta=90.00 gamma=90.00
Element x y z (fractional)
Ca: 0.000 0.500 0.000
Ca: 0.500 0.000 0.000
Tl: 0.000 0.000 0.500
Zn: 0.500 0.500 0.500
Pd: 0.500 0.500 0.000

VASP calculation (PBE) on La2TlCr after structural relaxation.

Results
Density of states at the Fermi level = 3.37 states/eV per cell
Energy above the lowest structure with this stoichiometry = 129 meV/atom
Symmetry = F-43m
Total DFT energy (no corrections) = -21.2 eV per cell
V = 26.08 Å³/atom
Calculated formation energy = 0.1697 eV per atom

Unit cell a=5.284 b=5.284 c=5.284 alpha=60.00 beta=60.00 gamma=60.00
Element x y z (fractional)
La: 0.000 0.000 0.000
La: 0.250 0.250 0.250
Tl: 0.750 0.750 0.750
Cr: 0.500 0.500 0.500

VASP calculation (PBE) on GeAsH2 after structural relaxation.

Results
Density of states at the Fermi level = 1.73 states/eV per cell
Energy above the lowest structure with this stoichiometry = 269 meV/atom
Symmetry = I-42d
Total DFT energy (no corrections) = -27.4 eV per cell
V = 12.16 Å³/atom

Unit cell a=7.159 b=7.159 c=7.159 alpha=148.95 beta=148.95 gamma=44.48
Element x y z (fractional)
Ge: 0.000 0.000 0.000
Ge: 0.750 0.250 0.500
As: 0.250 0.750 0.500
As: 0.500 0.500 0.000
H: 0.136 0.625 0.011
H: 0.375 0.386 0.511
H: 0.614 0.125 0.989
H: 0.875 0.864 0.489

VASP calculation (PBE) on AlZnSb2 after structural relaxation.

Results
Density of states at the Fermi level = 2.30 states/eV per cell
Energy above the lowest structure with this stoichiometry = 195 meV/atom
Symmetry = P4mm
Total DFT energy (no corrections) = -12.5 eV per cell
V = 22.93 Å³/atom

Unit cell a=3.086 b=3.086 c=9.634 alpha=90.00 beta=90.00 gamma=90.00
Element x y z (fractional)
Al: 0.000 0.000 0.000
Zn: 0.500 0.500 0.821
Sb: 0.000 0.000 0.585
Sb: 0.500 0.500 0.241

VASP calculation (PBE) on TbNdCuPt after structural relaxation.

Results
Density of states at the Fermi level = 3.10 states/eV per cell
Energy above the lowest structure with this stoichiometry = 0 meV/atom
Symmetry = Amm2
Total DFT energy (no corrections) = -22.5 eV per cell
V = 23.27 Å³/atom
Calculated formation energy = -0.7323 eV per atom

Unit cell a=4.464 b=5.732 c=5.732 alpha=39.39 beta=90.00 gamma=90.00
Element x y z (fractional)
Tb: 0.000 0.000 0.000
Nd: 0.500 0.723 0.723
Cu: 0.000 0.288 0.288
Pt: 0.500 0.443 0.443

VASP calculation (PBE) on AcMgZnPd after structural relaxation.

Results
Density of states at the Fermi level = 2.29 states/eV per cell
Energy above the lowest structure with this stoichiometry = 0 meV/atom
Symmetry = Cm
Total DFT energy (no corrections) = -14.2 eV per cell
V = 24.39 Å³/atom
Calculated formation energy = -0.5143 eV per atom

Unit cell a=4.661 b=4.661 c=5.839 alpha=113.52 beta=113.52 gamma=60.11
Element x y z (fractional)
Ac: 0.000 0.000 0.000
Mg: 0.490 0.490 0.472
Zn: 0.205 0.205 0.616
Pd: 0.803 0.803 0.408